AsOs2Pb: PBEsol geometry, SCAN.

It has space group Cmm2 (No. 35), with a = 2.890 Å, b = 5.043 Å, c = 10.130 Å, α = 90.00°, β = 90.00° and γ = 90.00°. The asymmetric unit holds As at (0.000, 0.000, 0.000), Os at (0.000, 0.000, 0.417), Os at (0.000, 0.500, 0.204) and Pb at (0.000, 0.500, 0.669).

For the spin magnetization, the calculation gives 0.00 μB/f.u. As for the formation energy: 0.841 eV/atom. The value obtained for the volume is 73.8 Å³/f.u. As for the offset from the most stable computed form: 325.8 meV/atom. The density of states at the Fermi level is 5.6 states/eV per cell.

MgZnCd2: PBEsol geometry, SCAN.

It has space group I-4m2 (No. 119), with a = 4.230 Å, b = 4.230 Å, c = 8.554 Å, α = 90.00°, β = 90.00° and γ = 90.00°. The asymmetric unit holds Mg at (0.000, 0.000, 0.000), Zn at (0.000, 0.500, 0.250), Cd at (0.000, 0.000, 0.500) and Cd at (0.000, 0.500, 0.750).

For the spin magnetization, the calculation gives 0.00 μB/f.u. As for the formation energy: -0.035 eV/atom. The value obtained for the volume is 76.5 Å³/f.u. As for the offset from the most stable computed form: 7.2 meV/atom. The density of states at the Fermi level is 2.2 states/eV per cell.

K3Rh: PBEsol geometry, SCAN.

It has space group Pm-3m (No. 221), with a = 5.103 Å, b = 5.103 Å, c = 5.103 Å, α = 90.00°, β = 90.00° and γ = 90.00°. The asymmetric unit holds K at (0.000, 0.000, 0.500) and Rh at (0.500, 0.500, 0.500).

For the spin magnetization, the calculation gives 0.21 μB/f.u. As for the formation energy: 0.688 eV/atom. The value obtained for the volume is 132.9 Å³/f.u. The density of states at the Fermi level is 3.9 states/eV per cell.

Nb2ZnSeCl: PBEsol geometry, SCAN.

It has space group P4/mmm (No. 123), with a = 4.815 Å, b = 4.815 Å, c = 4.641 Å, α = 90.00°, β = 90.00° and γ = 90.00°. The asymmetric unit holds Nb at (0.000, 0.500, 0.000), Zn at (0.000, 0.000, 0.500), Se at (0.000, 0.000, 0.000) and Cl at (0.500, 0.500, 0.500).

The total DFT energy (no corrections) comes out at -20.6878 eV per atom. For the spin magnetization, the calculation gives 0.00 μB/f.u. The value obtained for the volume is 107.6 Å³/f.u. The density of states at the Fermi level is 4.6 states/eV per cell.

SrIrRh2: PBEsol geometry, SCAN.

It has space group P4/mmm (No. 123), with a = 4.135 Å, b = 4.135 Å, c = 3.918 Å, α = 90.00°, β = 90.00° and γ = 90.00°. The asymmetric unit holds Sr at (0.000, 0.000, 0.000), Ir at (0.500, 0.500, 0.000) and Rh at (0.000, 0.500, 0.500).

For the spin magnetization, the calculation gives 0.00 μB/f.u. As for the formation energy: 0.330 eV/atom. The value obtained for the volume is 67.0 Å³/f.u. As for the offset from the most stable computed form: 95.6 meV/atom. The density of states at the Fermi level is 3.2 states/eV per cell.

Tm4MgS7: PBEsol geometry, SCAN.

It has space group Cm (No. 8), with a = 12.299 Å, b = 3.708 Å, c = 11.223 Å, α = 90.00°, β = 105.19° and γ = 90.00°. The asymmetric unit holds Tm at (0.000, 0.000, 0.000), Tm at (0.087, 0.500, 0.373), Tm at (0.194, 0.500, 0.808), Tm at (0.387, 0.000, 0.597), Mg at (0.316, 0.500, 0.226), S at (0.033, 0.000, 0.750), S at (0.160, 0.500, 0.027), S at (0.215, 0.000, 0.318), S at (0.233, 0.500, 0.590), S at (0.356, 0.000, 0.851), S at (0.435, 0.000, 0.154) and S at (0.460, 0.500, 0.446).

The total DFT energy (no corrections) comes out at -25.5249 eV per atom. For the spin magnetization, the calculation gives 0.00 μB/f.u. The value obtained for the volume is 246.9 Å³/f.u.

AgMo2W: PBEsol geometry, SCAN.

It has space group Imm2 (No. 44), with a = 3.304 Å, b = 4.390 Å, c = 8.658 Å, α = 90.00°, β = 90.00° and γ = 90.00°. The asymmetric unit holds Ag at (0.000, 0.000, 0.000), Mo at (0.000, 0.000, 0.501), Mo at (0.000, 0.500, 0.767) and W at (0.000, 0.500, 0.234).

For the spin magnetization, the calculation gives 0.00 μB/f.u. As for the formation energy: 0.504 eV/atom. The value obtained for the volume is 62.8 Å³/f.u. As for the offset from the most stable computed form: 87.4 meV/atom. The density of states at the Fermi level is 5.8 states/eV per cell.

SiSe3I: PBEsol geometry, SCAN.

It has space group Pm-3m (No. 221), with a = 4.848 Å, b = 4.848 Å, c = 4.848 Å, α = 90.00°, β = 90.00° and γ = 90.00°. The asymmetric unit holds Si at (0.000, 0.000, 0.000), Se at (0.000, 0.000, 0.500) and I at (0.500, 0.500, 0.500).

The total DFT energy (no corrections) comes out at -20.9198 eV per atom. For the spin magnetization, the calculation gives 0.00 μB/f.u. The value obtained for the volume is 113.9 Å³/f.u. The density of states at the Fermi level is 5.3 states/eV per cell.

Li2Ca2Cd: PBEsol geometry, SCAN.

It has space group P4/mbm (No. 127), with a = 7.378 Å, b = 7.378 Å, c = 4.900 Å, α = 90.00°, β = 90.00° and γ = 90.00°. The asymmetric unit holds Li at (0.130, 0.370, 0.000), Ca at (0.185, 0.685, 0.500) and Cd at (0.000, 0.000, 0.000).

For the spin magnetization, the calculation gives 0.00 μB/f.u. As for the formation energy: -0.110 eV/atom. The value obtained for the volume is 133.4 Å³/f.u. As for the offset from the most stable computed form: 0.0 meV/atom. The density of states at the Fermi level is 7.6 states/eV per cell.

FeP2Os: PBEsol geometry, SCAN.

It has space group R-3m (No. 166, hexagonal axes), with a = 2.7896 Å, b = 2.7896 Å, c = 21.1952 Å, α = 90.00°, β = 90.00° and γ = 120.00°. The asymmetric unit holds Fe at (0.0000, 0.0000, 0.0000), P at (0.0000, 0.0000, 0.2553) and Os at (0.0000, 0.0000, 0.5000).

For the spin magnetization, the calculation gives 0.95 μB/f.u. As for the formation energy: 0.016 eV/atom. The value obtained for the volume is 47.6 Å³/f.u. As for the offset from the most stable computed form: 8.9 meV/atom. The density of states at the Fermi level is 5.9 states/eV per cell.

Li3PrSb2: PBEsol geometry, SCAN.

It has space group P-3m1 (No. 164), with a = 4.5600 Å, b = 4.5600 Å, c = 7.2569 Å, α = 90.00°, β = 90.00° and γ = 120.00°. The asymmetric unit holds Li at (0.0000, 0.0000, 0.0000), Li at (0.3333, 0.6667, 0.1483), Pr at (0.0000, 0.0000, 0.5000) and Sb at (0.3333, 0.6667, 0.7567).

The total DFT energy (no corrections) comes out at -21.7573 eV per atom. For the spin magnetization, the calculation gives 0.00 μB/f.u. The value obtained for the volume is 130.7 Å³/f.u. The density of states at the Fermi level is 0.1 states/eV per cell.

CaRhBr: PBEsol geometry, SCAN.

It has space group F-43m (No. 216), with a = 6.543 Å, b = 6.543 Å, c = 6.543 Å, α = 90.00°, β = 90.00° and γ = 90.00°. The asymmetric unit holds Ca at (0.000, 0.000, 0.000), Rh at (0.250, 0.250, 0.750) and Br at (0.250, 0.250, 0.250).

For the spin magnetization, the calculation gives 0.44 μB/f.u. The value obtained for the volume is 70.0 Å³/f.u. As for the offset from the most stable computed form: 262.2 meV/atom. The density of states at the Fermi level is 9.2 states/eV per cell.

LaY2Mg: PBEsol geometry, SCAN.

It has space group P4/mmm (No. 123), with a = 3.654 Å, b = 3.654 Å, c = 8.884 Å, α = 90.00°, β = 90.00° and γ = 90.00°. The asymmetric unit holds La at (0.000, 0.000, 0.000), Y at (0.500, 0.500, 0.277) and Mg at (0.000, 0.000, 0.500).

For the spin magnetization, the calculation gives 0.15 μB/f.u. As for the formation energy: -0.034 eV/atom. The value obtained for the volume is 118.6 Å³/f.u. The density of states at the Fermi level is 5.5 states/eV per cell.

BaMg2Te: PBEsol geometry, SCAN.

It has space group Pm (No. 6), with a = 4.358 Å, b = 4.287 Å, c = 7.146 Å, α = 90.00°, β = 100.34° and γ = 90.00°. The asymmetric unit holds Ba at (0.000, 0.000, 0.000), Mg at (0.229, 0.000, 0.493), Mg at (0.676, 0.500, 0.371) and Te at (0.439, 0.500, 0.776).

The total DFT energy (no corrections) comes out at -22.2822 eV per atom. For the spin magnetization, the calculation gives 0.00 μB/f.u. The value obtained for the volume is 131.4 Å³/f.u. The density of states at the Fermi level is 1.5 states/eV per cell.

BaCrSe2N: PBEsol geometry, SCAN.

It has space group P4/mmm (No. 123), with a = 5.958 Å, b = 5.958 Å, c = 4.966 Å, α = 90.00°, β = 90.00° and γ = 90.00°. The asymmetric unit holds Ba at (0.000, 0.000, 0.000), Cr at (0.500, 0.500, 0.500), Se at (0.000, 0.500, 0.000) and N at (0.000, 0.000, 0.500).

The total DFT energy (no corrections) comes out at -20.5529 eV per atom. For the spin magnetization, the calculation gives 6.14 μB/f.u. The value obtained for the volume is 176.3 Å³/f.u. The density of states at the Fermi level is 4.1 states/eV per cell.

BiBSN2: PBEsol geometry, SCAN.

It has space group P4/mmm (No. 123), with a = 4.301 Å, b = 4.301 Å, c = 5.279 Å, α = 90.00°, β = 90.00° and γ = 90.00°. The asymmetric unit holds Bi at (0.000, 0.000, 0.000), B at (0.500, 0.500, 0.500), S at (0.000, 0.000, 0.500) and N at (0.000, 0.500, 0.000).

The total DFT energy (no corrections) comes out at -20.3715 eV per atom. For the spin magnetization, the calculation gives 2.60 μB/f.u. The value obtained for the volume is 97.6 Å³/f.u. The density of states at the Fermi level is 2.0 states/eV per cell.

DyLu3: PBEsol geometry, SCAN.

It has space group P6_3/mmc (No. 194), with a = 6.9524 Å, b = 6.9524 Å, c = 5.4026 Å, α = 90.00°, β = 90.00° and γ = 120.00°. The asymmetric unit holds Dy at (0.3333, 0.6667, 0.2500) and Lu at (0.1660, 0.3320, 0.7500).

For the spin magnetization, the calculation gives 0.01 μB/f.u. As for the formation energy: 0.001 eV/atom. The value obtained for the volume is 113.1 Å³/f.u. The density of states at the Fermi level is 12.1 states/eV per cell.

MnBeAg4: PBEsol geometry, SCAN.

It has space group F-43m (No. 216), with a = 7.435 Å, b = 7.435 Å, c = 7.435 Å, α = 90.00°, β = 90.00° and γ = 90.00°. The asymmetric unit holds Mn at (0.000, 0.000, 0.000), Be at (0.250, 0.250, 0.250) and Ag at (0.125, 0.125, 0.625).

For the spin magnetization, the calculation gives 4.40 μB/f.u. As for the formation energy: 0.424 eV/atom. The value obtained for the volume is 102.7 Å³/f.u. The density of states at the Fermi level is 8.9 states/eV per cell.

SrTc2Mo: PBEsol geometry, SCAN.

It has space group F-43m (No. 216), with a = 6.446 Å, b = 6.446 Å, c = 6.446 Å, α = 90.00°, β = 90.00° and γ = 90.00°. The asymmetric unit holds Sr at (0.000, 0.000, 0.000), Tc at (0.000, 0.000, 0.500), Tc at (0.250, 0.250, 0.250) and Mo at (0.250, 0.250, 0.750).

For the spin magnetization, the calculation gives 0.00 μB/f.u. As for the formation energy: 0.993 eV/atom. The value obtained for the volume is 67.0 Å³/f.u. As for the offset from the most stable computed form: 371.5 meV/atom. The density of states at the Fermi level is 14.9 states/eV per cell.

TiCu2PtRh: PBEsol geometry, SCAN.

It has space group P4/mmm (No. 123), with a = 4.501 Å, b = 4.501 Å, c = 4.343 Å, α = 90.00°, β = 90.00° and γ = 90.00°. The asymmetric unit holds Ti at (0.000, 0.000, 0.000), Cu at (0.000, 0.500, 0.500), Pt at (0.500, 0.500, 0.000) and Rh at (0.000, 0.000, 0.500).

For the spin magnetization, the calculation gives 0.00 μB/f.u. As for the formation energy: 0.807 eV/atom. The value obtained for the volume is 88.0 Å³/f.u. The density of states at the Fermi level is 4.9 states/eV per cell.